# Cs3InBr4 PBE-GGA optimized geometry
data_Cs3InBr4
_symmetry_space_group_name_H-M 'P n m a'
_symmetry_Int_Tables_number 62
_cell_length_a 10.053
_cell_length_b 13.542
_cell_length_c 10.994
_cell_angle_alpha 90.00
_cell_angle_beta 90.00
_cell_angle_gamma 90.00
loop_
_symmetry_equiv_pos_as_xyz
'x,y,z'
'-x,-y,-z'
'-x+1/2,-y,z+1/2'
'x+1/2,y,-z+1/2'
'x+1/2,-y+1/2,-z+1/2'
'-x+1/2,y+1/2,z+1/2'
'-x,y+1/2,-z'
'x,-y+1/2,z'
loop_
_atom_site_label
_atom_site_fract_x
_atom_site_fract_y
_atom_site_fract_z
Cs1 0.007 0.035 0.231
Cs2 0.211 0.750 0.447
In1 0.203 0.250 0.529
Br1 0.041 0.750 0.161
Br2 0.219 0.750 0.769
Br3 0.232 0.010 0.503
# crystal system	orthorhombic
# magnetic moment	0.00	μB/f.u.
# formation energy from raw total energies	-11.9	eV/f.u.